# KYHf

A relaxed KYHf crystal (PBE, Alexandria via LeMat-Bulk).

SG: Cm (8)
Distance to the lowest polymorph of the same formula (meV per atom): 162
Formation energy from the elements (eV per atom): 0.4746

Unit cell a=12.0584 b=11.7038 c=11.7038 alpha=162.98 beta=150.23 gamma=29.77
Positions (direct):
Y 0.7376 0.9241 0.0759
Y 0.2257 0.2131 0.7869
Hf 0.9033 0.2409 0.7591
Hf 0.3413 0.5443 0.4557
K 0.7902 0.5577 0.4423
K 0.3590 0.8937 0.1063